Density functional theory data (PBE with a Hubbard U) for a relaxed structure of Li3Mn2P5O16.

```
Li3Mn2P5O16
1.0
5.1071 0.0000 0.0000
0.0000 7.0971 0.0000
-1.0363 0.0000 18.2921
Li Mn P O
6 4 10 32
Direct
0.0000 0.0181 0.2500 Li
0.0000 0.9819 0.7500 Li
0.2429 0.3294 0.9642 Li
0.2429 0.6706 0.4642 Li
0.7571 0.3294 0.5358 Li
0.7571 0.6706 0.0358 Li
0.2328 0.1676 0.4126 Mn
0.2328 0.8324 0.9126 Mn
0.7672 0.1676 0.0874 Mn
0.7672 0.8324 0.5874 Mn
0.2399 0.4662 0.1243 P
0.2399 0.5338 0.6243 P
0.2689 0.1354 0.5897 P
0.2689 0.8646 0.0897 P
0.5000 0.2423 0.2500 P
0.5000 0.7577 0.7500 P
0.7311 0.1354 0.9103 P
0.7311 0.8646 0.4103 P
0.7601 0.4662 0.3757 P
0.7601 0.5338 0.8757 P
0.0523 0.4488 0.3926 O
0.0523 0.5512 0.8926 O
0.1039 0.2055 0.5222 O
0.1039 0.7945 0.0222 O
0.1252 0.0083 0.1347 O
0.1252 0.9917 0.6347 O
0.3091 0.3202 0.6440 O
0.3091 0.6798 0.1440 O
0.3098 0.3821 0.2042 O
0.3098 0.6179 0.7042 O
0.3221 0.1346 0.2976 O
0.3221 0.8654 0.7976 O
0.4138 0.3823 0.0683 O
0.4138 0.6177 0.5683 O
0.4496 0.0906 0.9287 O
0.4496 0.9094 0.4287 O
0.5504 0.0906 0.5713 O
0.5504 0.9094 0.0713 O
0.5862 0.3823 0.4317 O
0.5862 0.6177 0.9317 O
0.6779 0.1346 0.2024 O
0.6779 0.8654 0.7024 O
0.6902 0.3821 0.2958 O
0.6902 0.6179 0.7958 O
0.6909 0.3202 0.8560 O
0.6909 0.6798 0.3560 O
0.8748 0.0083 0.3653 O
0.8748 0.9917 0.8653 O
0.8961 0.2055 0.9778 O
0.8961 0.7945 0.4778 O
0.9477 0.4488 0.1074 O
0.9477 0.5512 0.6074 O
```

Calculated values
Space group: P2/c, No. 13
Calculated density, Mg/m³: 2.7
M_tot, μB per atom: 0.3846
Total energy, eV per atom: -7.097